# CuAuSe | the Alexandria database | PBE | optimized geometry
data_CuAuSe
_chemical_formula_sum 'Cu2 Au2 Se2'
_cell_length_a 2.836
_cell_length_b 2.836
_cell_length_c 13.551
_cell_angle_alpha 90.00
_cell_angle_beta 90.00
_cell_angle_gamma 90.00
_symmetry_space_group_name_H-M 'I 4 m m'
_symmetry_Int_Tables_number 107
_symmetry_space_group_name_Hall 'I 4 -2'
loop_
_atom_site_label
_atom_site_type_symbol
_atom_site_fract_x
_atom_site_fract_y
_atom_site_fract_z
Cu1 Cu 0.000 0.000 0.000
Au1 Au 0.000 0.000 0.362
Se1 Se 0.000 0.000 0.636
# size of the total moment	0.0	μB/cell
# formation energy (no corrections)	0.1687	eV per atom
# Fermi-level density of states	0.24	states/eV/atom


# CsCa2ZnRu | the Alexandria database | PBE | optimized geometry
data_CsCa2ZnRu
_chemical_formula_sum 'Cs1 Ca2 Zn1 Ru1'
_cell_length_a 5.594
_cell_length_b 5.594
_cell_length_c 5.197
_cell_angle_alpha 90.00
_cell_angle_beta 90.00
_cell_angle_gamma 90.00
_symmetry_space_group_name_H-M 'P 4/m m m'
_symmetry_Int_Tables_number 123
_symmetry_space_group_name_Hall '-P 4 2'
loop_
_atom_site_label
_atom_site_type_symbol
_atom_site_fract_x
_atom_site_fract_y
_atom_site_fract_z
Cs1 Cs 0.000 0.000 0.000
Ca1 Ca 0.000 0.500 0.500
Zn1 Zn 0.500 0.500 0.000
Ru1 Ru 0.500 0.500 0.500
# size of the total moment	0.0	μB/cell
# ΔE_f	0.238	eV per atom
# Fermi-level density of states	0.70	states/eV/atom


# BC2 | the Alexandria database | PBE | optimized geometry
data_BC2
_chemical_formula_sum 'B4 C8'
_cell_length_a 2.592
_cell_length_b 7.820
_cell_length_c 3.781
_cell_angle_alpha 90.00
_cell_angle_beta 90.00
_cell_angle_gamma 90.00
_symmetry_space_group_name_H-M 'P m m 2'
_symmetry_Int_Tables_number 25
loop_
_symmetry_equiv_pos_as_xyz
'x,y,z'
'-x,-y,z'
'-x,y,z'
'x,-y,z'
loop_
_atom_site_label
_atom_site_type_symbol
_atom_site_fract_x
_atom_site_fract_y
_atom_site_fract_z
B1 B 0.000 0.000 0.000
B2 B 0.000 0.179 0.290
B3 B 0.500 0.000 0.706
C1 C 0.000 0.342 0.003
C2 C 0.000 0.500 0.267
C3 C 0.500 0.183 0.527
C4 C 0.500 0.340 0.767
C5 C 0.500 0.500 0.510
# size of the total moment	0.3	μB/cell
# ΔE_f	0.437	eV per atom
# Fermi-level density of states	0.11	states/eV/atom
# relative energy among the computed polymorphs	197.2	meV per atom


# Rb2ZrTe4 | the Alexandria database | PBE | optimized geometry
data_Rb2ZrTe4
_chemical_formula_sum 'Rb2 Zr1 Te4'
_cell_length_a 8.388
_cell_length_b 4.254
_cell_length_c 8.756
_cell_angle_alpha 90.00
_cell_angle_beta 109.63
_cell_angle_gamma 90.00
_symmetry_space_group_name_H-M 'P 1 2/m 1'
_symmetry_Int_Tables_number 10
loop_
_symmetry_equiv_pos_as_xyz
'x,y,z'
'-x,-y,-z'
'-x,y,-z'
'x,-y,z'
loop_
_atom_site_label
_atom_site_type_symbol
_atom_site_fract_x
_atom_site_fract_y
_atom_site_fract_z
Rb1 Rb 0.200 0.000 0.314
Zr1 Zr 0.500 0.500 0.000
Te1 Te 0.127 0.500 0.915
Te2 Te 0.412 0.000 0.757
# size of the total moment	0.0	μB/cell
# formation energy (no corrections)	-0.7397	eV per atom
# Fermi-level density of states	0.23	states/eV/atom


# NaPN2 | the Alexandria database | PBE | optimized geometry
data_NaPN2
_chemical_formula_sum 'Na4 P4 N8'
_cell_length_a 6.483
_cell_length_b 9.831
_cell_length_c 4.594
_cell_angle_alpha 90.00
_cell_angle_beta 113.61
_cell_angle_gamma 90.00
_symmetry_space_group_name_H-M 'C 1 2/c 1'
_symmetry_Int_Tables_number 15
loop_
_symmetry_equiv_pos_as_xyz
'x,y,z'
'-x,-y,-z'
'-x,y,-z+1/2'
'x,-y,z+1/2'
'x+1/2,y+1/2,z'
'-x+1/2,-y+1/2,-z'
'-x+1/2,y+1/2,-z+1/2'
'x+1/2,-y+1/2,z+1/2'
loop_
_atom_site_label
_atom_site_type_symbol
_atom_site_fract_x
_atom_site_fract_y
_atom_site_fract_z
Na1 Na 0.000 0.193 0.250
P1 P 0.000 0.497 0.750
N1 N 0.140 0.409 0.576
# size of the total moment	0.0	μB/cell
# formation energy (no corrections)	-0.5106	eV per atom
# Fermi-level density of states	0.00	states/eV/atom


# SmAl2ZnAu | the Alexandria database | PBE | optimized geometry
data_SmAl2ZnAu
_chemical_formula_sum 'Sm2 Al4 Zn2 Au2'
_cell_length_a 4.307
_cell_length_b 4.307
_cell_length_c 10.712
_cell_angle_alpha 90.00
_cell_angle_beta 90.00
_cell_angle_gamma 90.00
_symmetry_space_group_name_H-M 'I -4 m 2'
_symmetry_Int_Tables_number 119
_symmetry_space_group_name_Hall 'I -4 -2'
loop_
_atom_site_label
_atom_site_type_symbol
_atom_site_fract_x
_atom_site_fract_y
_atom_site_fract_z
Sm1 Sm 0.000 0.000 0.000
Al1 Al 0.000 0.000 0.382
Zn1 Zn 0.000 0.500 0.250
Au1 Au 0.000 0.500 0.750
# size of the total moment	0.0	μB/cell
# ΔE_f	-0.526	eV per atom
# Fermi-level density of states	0.54	states/eV/atom


# LiPr2Cd6Ag | the Alexandria database | PBE | optimized geometry
data_LiPr2Cd6Ag
_chemical_formula_sum 'Li1 Pr2 Cd6 Ag1'
_cell_length_a 6.913
_cell_length_b 6.914
_cell_length_c 7.256
_cell_angle_alpha 61.68
_cell_angle_beta 61.62
_cell_angle_gamma 60.04
_symmetry_space_group_name_H-M 'P -1'
_symmetry_Int_Tables_number 2
loop_
_symmetry_equiv_pos_as_xyz
'x,y,z'
'-x,-y,-z'
loop_
_atom_site_label
_atom_site_type_symbol
_atom_site_fract_x
_atom_site_fract_y
_atom_site_fract_z
Li1 Li 0.000 0.000 0.000
Pr1 Pr 0.219 0.220 0.341
Cd1 Cd 0.239 0.243 0.823
Cd2 Cd 0.243 0.691 0.827
Cd3 Cd 0.307 0.763 0.175
Ag1 Ag 0.500 0.500 0.500
# size of the total moment	0.0	μB/cell
# ΔE_f	-0.092	eV per atom
# Fermi-level density of states	0.61	states/eV/atom


# PmTeAs | the Alexandria database | PBE | optimized geometry
data_PmTeAs
_chemical_formula_sum 'Pm4 Te4 As4'
_cell_length_a 10.962
_cell_length_b 4.177
_cell_length_c 8.747
_cell_angle_alpha 90.00
_cell_angle_beta 116.10
_cell_angle_gamma 90.00
_symmetry_space_group_name_H-M 'C 1 2/m 1'
_symmetry_Int_Tables_number 12
loop_
_symmetry_equiv_pos_as_xyz
'x,y,z'
'-x,-y,-z'
'-x,y,-z'
'x,-y,z'
'x+1/2,y+1/2,z'
'-x+1/2,-y+1/2,-z'
'-x+1/2,y+1/2,-z'
'x+1/2,-y+1/2,z'
loop_
_atom_site_label
_atom_site_type_symbol
_atom_site_fract_x
_atom_site_fract_y
_atom_site_fract_z
Pm1 Pm 0.093 0.000 0.248
Te1 Te 0.159 0.000 0.650
As1 As 0.103 0.500 0.979
# size of the total moment	0.0	μB/cell
# formation energy (no corrections)	-0.9149	eV per atom
# Fermi-level density of states	0.51	states/eV/atom
# relative energy among the computed polymorphs	272.1	meV per atom


# NaTa3Se | the Alexandria database | PBE | optimized geometry
data_NaTa3Se
_chemical_formula_sum 'Na1 Ta3 Se1'
_cell_length_a 4.814
_cell_length_b 4.814
_cell_length_c 4.814
_cell_angle_alpha 90.00
_cell_angle_beta 90.00
_cell_angle_gamma 90.00
_symmetry_space_group_name_H-M 'P m -3 m'
_symmetry_Int_Tables_number 221
_symmetry_space_group_name_Hall '-P 4 2 3'
loop_
_atom_site_label
_atom_site_type_symbol
_atom_site_fract_x
_atom_site_fract_y
_atom_site_fract_z
Na1 Na 0.000 0.000 0.000
Ta1 Ta 0.000 0.500 0.500
Se1 Se 0.500 0.500 0.500
# size of the total moment	0.0	μB/cell
# formation energy (no corrections)	1.1137	eV per atom
# Fermi-level density of states	1.46	states/eV/atom
# relative energy among the computed polymorphs	0.0	meV per atom


# ReAg | the Alexandria database | PBE | optimized geometry
data_ReAg
_chemical_formula_sum 'Re2 Ag2'
_cell_length_a 4.4295
_cell_length_b 4.4295
_cell_length_c 5.2854
_cell_angle_alpha 90.00
_cell_angle_beta 90.00
_cell_angle_gamma 120.00
_symmetry_space_group_name_H-M 'P 63/m m c'
_symmetry_Int_Tables_number 194
_symmetry_space_group_name_Hall '-P 6c 2c'
loop_
_atom_site_label
_atom_site_type_symbol
_atom_site_fract_x
_atom_site_fract_y
_atom_site_fract_z
Re1 Re 0.3333 0.6667 0.2500
Ag1 Ag 0.3333 0.6667 0.7500
# size of the total moment	0.5	μB/cell
# ΔE_f	2.598	eV per atom
# Fermi-level density of states	1.46	states/eV/atom
# relative energy among the computed polymorphs	2351.4	meV per atom


# YMg2Pb | the Alexandria database | PBE | optimized geometry
data_YMg2Pb
_chemical_formula_sum 'Y3 Mg6 Pb3'
_cell_length_a 3.4226
_cell_length_b 3.4226
_cell_length_c 32.4658
_cell_angle_alpha 90.00
_cell_angle_beta 90.00
_cell_angle_gamma 120.00
_symmetry_space_group_name_H-M 'R 3 m'
_symmetry_Int_Tables_number 160
_symmetry_space_group_name_Hall 'R 3 -2"'
loop_
_atom_site_label
_atom_site_type_symbol
_atom_site_fract_x
_atom_site_fract_y
_atom_site_fract_z
Y1 Y 0.0000 0.0000 0.0000
Mg1 Mg 0.0000 0.0000 0.2482
Mg2 Mg 0.0000 0.0000 0.5024
Pb1 Pb 0.0000 0.0000 0.7543
# size of the total moment	0.0	μB/cell
# ΔE_f	-0.016	eV per atom
# Fermi-level density of states	1.20	states/eV/atom


# LaMn5 | the Alexandria database | PBE | optimized geometry
data_LaMn5
_chemical_formula_sum 'La4 Mn20'
_cell_length_a 7.145
_cell_length_b 7.145
_cell_length_c 7.145
_cell_angle_alpha 90.00
_cell_angle_beta 90.00
_cell_angle_gamma 90.00
_symmetry_space_group_name_H-M 'F -4 3 m'
_symmetry_Int_Tables_number 216
_symmetry_space_group_name_Hall 'F -4 2 3'
loop_
_atom_site_label
_atom_site_type_symbol
_atom_site_fract_x
_atom_site_fract_y
_atom_site_fract_z
La1 La 0.000 0.000 0.000
Mn1 Mn 0.122 0.122 0.378
Mn2 Mn 0.250 0.250 0.750
# size of the total moment	43.5	μB/cell
# ΔE_f	0.439	eV per atom
# Fermi-level density of states	1.62	states/eV/atom